(1)
# AcAlGa2Ag4 PBE optimized geometry
data_AcAlGa2Ag4
_chemical_formula_sum 'Ac3 Al3 Ga6 Ag12'
_space_group_name_H-M_alt 'R -3 m'
_space_group_IT_number 166
_space_group_name_Hall '-R 3 2"'
_cell_length_a 4.5516
_cell_length_b 4.5516
_cell_length_c 28.0805
_cell_angle_alpha 90.00
_cell_angle_beta 90.00
_cell_angle_gamma 120.00
loop_
_atom_site_label
_atom_site_type_symbol
_atom_site_fract_x
_atom_site_fract_y
_atom_site_fract_z
Ac1 Ac 0.0000 0.0000 0.0000
Al1 Al 0.0000 0.0000 0.5000
Ga1 Ga 0.0000 0.0000 0.2512
Ag1 Ag 0.0000 0.0000 0.1366
Ag2 Ag 0.0000 0.0000 0.4079
# ρ = 8.157 Mg/m³
# calculated total energy = -3.35 eV per atom
# N(E_F) = 2.820 states/eV/f.u.

(2)
# Si2Se PBE optimized geometry
data_Si2Se
_chemical_formula_sum 'Si6 Se3'
_space_group_name_H-M_alt 'R 3 m'
_space_group_IT_number 160
_space_group_name_Hall 'R 3 -2"'
_cell_length_a 3.5645
_cell_length_b 3.5645
_cell_length_c 15.0189
_cell_angle_alpha 90.00
_cell_angle_beta 90.00
_cell_angle_gamma 120.00
loop_
_atom_site_label
_atom_site_type_symbol
_atom_site_fract_x
_atom_site_fract_y
_atom_site_fract_z
Si1 Si 0.0000 0.0000 0.0000
Si2 Si 0.0000 0.0000 0.2446
Se1 Se 0.0000 0.0000 0.7792
# uncorrected formation energy = 306 meV per atom
# ρ = 4.073 Mg/m³
# N(E_F) = 1.829 states/eV/f.u.
# E above lowest polymorph = 45.8 kJ per mole of atoms

(3)
# AcZrGe PBE optimized geometry
data_AcZrGe
_chemical_formula_sum 'Ac6 Zr6 Ge6'
_space_group_name_H-M_alt 'R -3 m'
_space_group_IT_number 166
_space_group_name_Hall '-R 3 2"'
_cell_length_a 4.4422
_cell_length_b 4.4422
_cell_length_c 33.9870
_cell_angle_alpha 90.00
_cell_angle_beta 90.00
_cell_angle_gamma 120.00
loop_
_atom_site_label
_atom_site_type_symbol
_atom_site_fract_x
_atom_site_fract_y
_atom_site_fract_z
Ac1 Ac 0.0000 0.0000 0.1119
Zr1 Zr 0.0000 0.0000 0.3049
Ge1 Ge 0.0000 0.0000 0.3899
# ρ = 6.705 Mg/m³
# N(E_F) = 3.690 states/eV/f.u.
# E above lowest polymorph = 21.3 kJ per mole of atoms

(4)
# PrAgAs2O8 PBE optimized geometry
data_PrAgAs2O8
_chemical_formula_sum 'Pr2 Ag2 As4 O16'
_space_group_name_H-M_alt 'I -4 m 2'
_space_group_IT_number 119
_space_group_name_Hall 'I -4 -2'
_cell_length_a 7.344
_cell_length_b 7.344
_cell_length_c 6.580
_cell_angle_alpha 90.00
_cell_angle_beta 90.00
_cell_angle_gamma 90.00
loop_
_atom_site_label
_atom_site_type_symbol
_atom_site_fract_x
_atom_site_fract_y
_atom_site_fract_z
Pr1 Pr 0.000 0.000 0.000
Ag1 Ag 0.000 0.500 0.750
As1 As 0.000 0.000 0.500
As2 As 0.000 0.500 0.250
O1 O 0.000 0.177 0.674
O2 O 0.000 0.321 0.082
# uncorrected formation energy = -1332 meV per atom
# ρ = 4.929 Mg/m³
# N(E_F) = 9.544 states/eV/f.u.

(5)
# TaRe2Mo PBE optimized geometry
data_TaRe2Mo
_chemical_formula_sum 'Ta1 Re2 Mo1'
_space_group_name_H-M_alt 'P m m m'
_space_group_IT_number 47
_space_group_name_Hall '-P 2 2'
_cell_length_a 3.158
_cell_length_b 4.476
_cell_length_c 4.497
_cell_angle_alpha 90.00
_cell_angle_beta 90.00
_cell_angle_gamma 90.00
loop_
_atom_site_label
_atom_site_type_symbol
_atom_site_fract_x
_atom_site_fract_y
_atom_site_fract_z
Ta1 Ta 0.000 0.000 0.000
Re1 Re 0.000 0.500 0.500
Re2 Re 0.500 0.500 0.000
Mo1 Mo 0.500 0.000 0.500
# ρ = 16.964 Mg/m³
# N(E_F) = 2.261 states/eV/f.u.
# E above lowest polymorph = 4.8 kJ per mole of atoms

(6)
# Sc3TlSe PBE optimized geometry
data_Sc3TlSe
_chemical_formula_sum 'Sc3 Tl1 Se1'
_space_group_name_H-M_alt 'P m -3 m'
_space_group_IT_number 221
_space_group_name_Hall '-P 4 2 3'
_cell_length_a 5.350
_cell_length_b 5.350
_cell_length_c 5.350
_cell_angle_alpha 90.00
_cell_angle_beta 90.00
_cell_angle_gamma 90.00
loop_
_atom_site_label
_atom_site_type_symbol
_atom_site_fract_x
_atom_site_fract_y
_atom_site_fract_z
Sc1 Sc 0.000 0.000 0.500
Tl1 Tl 0.000 0.000 0.000
Se1 Se 0.500 0.500 0.500
# uncorrected formation energy = 304 meV per atom
# ρ = 4.536 Mg/m³
# N(E_F) = 8.733 states/eV/f.u.
# E above lowest polymorph = 100.0 kJ per mole of atoms